First-principles (PBE) data for LaHo2Tm8 after structural relaxation, as listed in the Alexandria database.

```
11
Lattice="5.1783 0.0004 -1.5716 -0.9861 7.3021 -3.2477 0.0001 -0.3000 9.3084" Properties=species:S:1:pos:R:3 pbc="T T T"
La 2.5892 0.0002 -0.7858
Ho 0.3413 4.9851 1.1225
Ho 3.8510 2.0174 3.3666
Tm 2.4888 6.1146 -1.1168
Tm 1.2958 3.9065 4.2635
Tm 0.6850 1.0958 2.2556
Tm -0.2918 1.8612 8.3472
Tm 3.5073 5.9067 2.2336
Tm 2.8965 3.0960 0.2257
Tm 1.7035 0.8878 5.6060
Tm 4.4841 5.1412 -3.8580
```

Calculated values
- DOS(E_F): 1.381 states/eV/atom
- Formation enthalpy at 0 K: 0.124 eV per atom
- Total moment: 0.000 μB per atom


First-principles (PBE) data for Si3HgIr after structural relaxation, as listed in the Alexandria database.

```
5
Lattice="-0.0284 4.6819 0.5288 -3.3671 -0.3901 3.2728 3.2958 -0.3581 3.3481" Properties=species:S:1:pos:R:3 pbc="T T T"
Si -1.6835 -0.1950 1.6364
Si 1.6479 -0.1791 1.6741
Si -0.0142 2.3409 0.2644
Ir 0.0000 0.0000 0.0000
Hg -0.0498 1.9669 3.5748
```

Calculated values
- Energy relative to the elements, uncorrected: 2.06 eV/f.u.
- DOS(E_F): 0.957 states/eV/atom
- Total moment: 0.000 μB per atom


First-principles (PBE) data for InTc2Ge2 after structural relaxation, as listed in the Alexandria database.

```
5
Lattice="3.6081 0.0000 0.0000 0.0000 3.6081 0.0000 1.8041 1.8041 6.5200" Properties=species:S:1:pos:R:3 pbc="T T T"
Ge 3.6081 1.8041 3.2600
Ge 1.8041 3.6081 3.2600
Tc 1.8041 1.8041 1.4274
Tc 3.6081 3.6081 5.0925
In 0.0000 0.0000 0.0000
```

Calculated values
- DOS(E_F): 0.480 states/eV/atom
- Formation enthalpy at 0 K: 0.072 eV per atom
- Total moment: 0.000 μB per atom


First-principles (PBE) data for Ce3Te2C after structural relaxation, as listed in the Alexandria database.

```
12
Lattice="-5.2627 2.9083 1.4465 -3.6998 -3.6898 -6.0423 1.9145 -5.5105 4.8244" Properties=species:S:1:pos:R:3 pbc="T T T"
Ce -3.3217 0.4021 -0.8518
Ce -5.6408 -1.1835 -3.7440
Ce -0.4063 -1.2524 1.0036
Ce -4.7774 -3.2027 2.2421
Ce -2.2707 -3.0893 -2.0135
Ce -6.6418 -5.0396 -0.7750
Te -5.0872 -2.1970 -0.8246
Te -3.2189 -0.3623 2.1915
Te -3.8291 -5.9297 -1.9628
Te -1.9609 -4.0950 1.0532
C -7.7217 -0.0336 -3.1720
C -1.2408 -0.7479 -1.4237
```

Calculated values
- Energy relative to the elements, uncorrected: -5.23 eV/f.u.
- DOS(E_F): 2.603 states/eV/atom
- Total moment: 0.493 μB per atom


First-principles (PBE) data for HoGa2Tc2Ge after structural relaxation, as listed in the Alexandria database.

```
6
Lattice="4.6048 0.0000 0.0000 0.0000 4.6048 0.0000 0.0000 0.0000 5.5095" Properties=species:S:1:pos:R:3 pbc="T T T"
Ho 0.0000 0.0000 2.7548
Ga 2.3024 2.3024 4.0655
Ga 2.3024 2.3024 1.4440
Tc 2.3024 0.0000 0.0000
Tc 0.0000 2.3024 0.0000
Ge 0.0000 0.0000 0.0000
```

Calculated values
- DOS(E_F): 0.696 states/eV/atom
- Formation enthalpy at 0 K: -0.069 eV per atom
- Total moment: 0.000 μB per atom


First-principles (PBE) data for La3ErNi8 after structural relaxation, as listed in the Alexandria database.

```
12
Lattice="4.9434 0.0000 1.4923 2.2465 4.4035 1.4923 -0.0096 -0.0059 8.9658" Properties=species:S:1:pos:R:3 pbc="T T T"
La 2.6870 1.6457 8.9669
La 7.1866 4.4015 2.9954
La 3.5925 2.2003 5.9673
Er 6.2883 3.8513 5.9713
Ni 5.5978 1.9188 3.7791
Ni 4.2896 4.1242 8.1746
Ni 3.1330 1.9188 3.0351
Ni 6.7339 4.1242 8.9125
Ni 1.3481 0.8256 4.4684
Ni 4.9334 3.0215 10.4597
Ni 4.2531 4.1144 3.7791
Ni 5.6232 1.9469 8.1746
```

Calculated values
- DOS(E_F): 0.663 states/eV/atom
- Formation enthalpy at 0 K: -0.354 eV per atom
- Total moment: 0.000 μB per atom


First-principles (PBE) data for ScSn3O after structural relaxation, as listed in the Alexandria database.

```
5
Lattice="5.5247 0.0000 0.0000 0.0000 5.5247 0.0000 0.0000 0.0000 5.5247" Properties=species:S:1:pos:R:3 pbc="T T T"
Sc 0.0000 0.0000 0.0000
Sn 0.0000 2.7623 0.0000
Sn 0.0000 0.0000 2.7623
Sn 2.7623 0.0000 0.0000
O 2.7623 2.7623 2.7623
```

Calculated values
- Energy relative to the elements, uncorrected: 3.80 eV/f.u.
- DOS(E_F): 2.335 states/eV/atom
- Total moment: 0.354 μB per atom


First-principles (PBE) data for ZrCr2Cd after structural relaxation, as listed in the Alexandria database.

```
4
Lattice="-6.9660 -3.8813 -4.8238 -7.8621 -4.6104 -1.9468 -8.5803 -1.8400 -3.1388" Properties=species:S:1:pos:R:3 pbc="T T T"
Cd -17.5563 -7.7487 -7.4321
Cr -23.3387 -10.3009 -9.8799
Cr -11.7738 -5.1966 -4.9842
Zr -5.8521 -2.5829 -2.4774
```

Calculated values
- DOS(E_F): 0.908 states/eV/atom
- Formation enthalpy at 0 K: 0.562 eV per atom
- Total moment: 1.519 μB per atom


First-principles (PBE) data for UCrN after structural relaxation, as listed in the Alexandria database.

```
3
Lattice="3.6012 0.0000 0.0000 0.0000 3.6012 0.0000 -1.8006 -1.8006 3.5290" Properties=species:S:1:pos:R:3 pbc="T T T"
Cr 0.0000 0.0000 2.4405
U 1.8006 1.8006 2.8608
N 1.8006 1.8006 0.6979
```

Calculated values
- Energy relative to the elements, uncorrected: 0.84 eV/f.u.
- DOS(E_F): 1.362 states/eV/atom
- Total moment: 0.000 μB per atom


First-principles (PBE) data for Th6SbIr3Rh2 after structural relaxation, as listed in the Alexandria database.

```
12
Lattice="-2.3823 0.3575 3.3868 -3.9645 -7.3066 -2.0174 8.0953 -3.0253 3.4634" Properties=species:S:1:pos:R:3 pbc="T T T"
Th 0.8344 -8.4442 1.4783
Th -1.2211 -5.0746 2.2269
Th 0.9141 -1.5302 3.3546
Th -1.0369 -2.0533 -0.5126
Th 2.7854 -7.9212 5.3455
Th 2.9696 -4.8999 2.6060
Sb -1.1911 0.1788 1.6934
Ir -3.1734 -3.4746 0.6847
Ir 2.8178 -2.9528 4.8439
Ir -1.0693 -7.0216 -0.0110
Rh 0.7462 -6.5151 3.7627
Rh 1.0023 -3.4593 1.0702
```

Calculated values
- Energy relative to the elements, uncorrected: -10.39 eV/f.u.
- DOS(E_F): 0.518 states/eV/atom
- Total moment: 0.000 μB per atom


First-principles (PBE) data for NaLiU4N8 after structural relaxation, as listed in the Alexandria database.

```
14
Lattice="-6.3385 -2.7109 -1.0418 -2.6942 -4.4503 4.6419 -5.0295 1.3909 3.6504" Properties=species:S:1:pos:R:3 pbc="T T T"
Na -7.7626 -1.5161 4.5133
Li -9.0558 -7.1180 3.6281
U -6.4526 -3.9680 2.9230
U -3.8714 -1.5011 4.1301
U -5.6672 -0.6440 1.3294
U -2.5438 0.6918 1.8428
N -7.2130 -3.3408 5.9176
N -9.1860 -2.3991 2.8406
N -5.7545 -0.9315 3.4046
N -3.6347 -1.2196 1.9573
N -6.7482 -2.6141 1.1985
N -4.7640 -3.5611 4.2931
N -8.2151 -5.0371 3.7259
N -10.5355 -4.3487 5.4244
```

Calculated values
- Energy relative to the elements, uncorrected: -14.57 eV/f.u.
- DOS(E_F): 0.540 states/eV/atom
- Total moment: 0.150 μB per atom


First-principles (PBE) data for Ho4Tm3Mg2 after structural relaxation, as listed in the Alexandria database.

```
9
Lattice="-3.9989 2.6821 -0.7948 -0.1962 -2.4663 -7.3350 -1.9204 -5.9642 4.5179" Properties=species:S:1:pos:R:3 pbc="T T T"
Ho -2.5002 0.0035 -2.3914
Ho -4.3140 -2.8843 -3.0107
Ho -3.6152 -5.7519 -1.2206
Ho -1.8015 -2.8641 -0.6013
Tm -5.1134 -3.0767 0.3625
Tm -1.0020 -2.6718 -3.9744
Tm 0.0000 0.0000 0.0000
Mg -2.5933 -3.0602 2.7208
Mg -3.5222 -2.6883 -6.3328
```

Calculated values
- DOS(E_F): 1.309 states/eV/atom
- Formation enthalpy at 0 K: 0.011 eV per atom
- Total moment: 0.000 μB per atom


First-principles (PBE) data for TbZnCoGe2 after structural relaxation, as listed in the Alexandria database.

```
10
Lattice="-4.4471 -3.2045 1.4472 3.3906 -3.6680 2.2971 -0.3651 2.6895 4.8335" Properties=species:S:1:pos:R:3 pbc="T T T"
Tb -0.3392 -0.2959 3.3178
Tb -1.0823 -3.8870 5.2599
Zn -0.2646 -4.7740 2.6364
Zn -0.7919 -2.0984 1.1078
Co 0.0000 0.0000 0.0000
Co 1.6953 -1.8340 1.1485
Ge -2.7468 -1.3163 5.2421
Ge -2.5701 -2.6179 2.9030
Ge 1.1485 -1.5650 5.6747
Ge 1.3252 -2.8666 3.3356
```

Calculated values
- DOS(E_F): 0.320 states/eV/atom
- Formation enthalpy at 0 K: -0.436 eV per atom
- Total moment: 0.000 μB per atom


First-principles (PBE) data for CaYTeS2 after structural relaxation, as listed in the Alexandria database.

```
5
Lattice="-2.3044 1.6643 -3.9819 -4.9961 -5.5861 0.5565 -2.8366 2.8179 2.8193" Properties=species:S:1:pos:R:3 pbc="T T T"
Y -2.4981 -2.7931 0.2783
Ca 0.0000 0.0000 0.0000
Te -5.0685 -0.5520 -0.3030
S -1.4183 1.4089 1.4097
S -1.1522 0.8321 -1.9909
```

Calculated values
- Energy relative to the elements, uncorrected: -0.78 eV/f.u.
- DOS(E_F): 0.863 states/eV/atom
- Total moment: 0.048 μB per atom


First-principles (PBE) data for Tb4PrY3 after structural relaxation, as listed in the Alexandria database.

```
8
Lattice="-2.8298 2.0087 0.1035 -3.3941 -4.9439 3.1536 6.3978 5.5797 8.4068" Properties=species:S:1:pos:R:3 pbc="T T T"
Pr -1.4149 1.0044 0.0517
Y -1.6970 -2.4720 1.5768
Y -1.7352 -2.6988 4.9375
Y 1.9091 5.3433 6.7264
Tb 0.1459 2.9540 4.8889
Tb 0.0280 -0.3095 6.7749
Tb -0.0119 -0.1864 3.2929
Tb 0.1858 2.8309 8.3710
```

Calculated values
- DOS(E_F): 1.809 states/eV/atom
- Formation enthalpy at 0 K: 0.175 eV per atom
- Total moment: 0.000 μB per atom


First-principles (PBE) data for NaRe2HgP after structural relaxation, as listed in the Alexandria database.

```
5
Lattice="-3.3463 -2.9556 1.6955 -1.4482 -0.8799 -4.3920 3.0744 -3.6436 -0.2837" Properties=species:S:1:pos:R:3 pbc="T T T"
Re 1.5372 -1.8218 -0.1419
Re -1.6732 -1.4778 0.8477
Na 0.0000 0.0000 0.0000
Hg -0.7241 -0.4400 -2.1960
P -0.8601 -3.7395 -1.4901
```

Calculated values
- DOS(E_F): 0.963 states/eV/atom
- Formation enthalpy at 0 K: 2.860 eV per atom
- Total moment: 0.952 μB per atom


First-principles (PBE) data for Tm6TlTc after structural relaxation, as listed in the Alexandria database.

```
8
Lattice="6.7491 0.0059 -0.0205 3.3649 5.8850 -0.0008 3.3352 1.9558 6.3506" Properties=species:S:1:pos:R:3 pbc="T T T"
Tm 4.1806 3.9532 4.8272
Tm 7.9381 1.6858 4.8061
Tm 5.4488 1.7286 1.5131
Tm 5.5111 6.1609 1.5231
Tm 9.2686 3.8935 1.5020
Tm 8.0004 6.1181 4.8161
Tl 6.7246 3.9234 3.1646
Tc 0.0000 0.0000 0.0000
```

Calculated values
- DOS(E_F): 1.247 states/eV/atom
- Formation enthalpy at 0 K: 0.137 eV per atom
- Total moment: 0.000 μB per atom


First-principles (PBE) data for BaLiIn2H after structural relaxation, as listed in the Alexandria database.

```
5
Lattice="6.0170 0.0000 0.0000 0.0000 3.7293 0.0000 0.0000 0.0000 6.0170" Properties=species:S:1:pos:R:3 pbc="T T T"
H 0.0000 1.8646 0.0000
Li 0.0000 0.0000 0.0000
Ba 3.0085 1.8646 3.0085
In 0.0000 0.0000 3.0085
In 3.0085 0.0000 0.0000
```

Calculated values
- DOS(E_F): 0.561 states/eV/atom
- Total DFT energy (no corrections): -0.091 Ha/atom
- Total moment: 0.000 μB per atom


First-principles (PBE) data for Pm2Pr2Ho2In after structural relaxation, as listed in the Alexandria database.

```
7
Lattice="3.6758 0.0000 0.0000 -1.8379 5.9883 -1.1861 0.0000 -3.0289 11.1891" Properties=species:S:1:pos:R:3 pbc="T T T"
Pm 1.8379 1.8941 0.5741
Pm 0.0000 1.0652 9.4289
Pr 1.8379 -2.0139 8.3162
Pr 0.0000 4.9733 1.6868
Ho 1.8379 0.9857 6.3712
Ho 0.0000 1.9737 3.6318
In 0.0000 -1.5145 5.5945
```

Calculated values
- DOS(E_F): 1.482 states/eV/atom
- Formation enthalpy at 0 K: -0.029 eV per atom
- Total moment: 0.000 μB per atom


First-principles (PBE) data for Ba3InAg6Hg2 after structural relaxation, as listed in the Alexandria database.

```
12
Lattice="6.6595 0.0000 0.0000 -3.3298 5.7673 0.0000 0.0000 0.0000 9.1933" Properties=species:S:1:pos:R:3 pbc="T T T"
Ba 0.0000 3.8449 5.7653
Ba 3.3298 1.9224 3.4280
Ba 0.0000 0.0000 0.0000
In 0.0000 0.0000 4.5967
Ag 1.4437 4.6784 2.6562
Ag 0.0000 2.1779 2.6562
Ag -1.4437 4.6784 2.6562
Ag 3.3298 3.5895 6.5372
Ag 1.8861 1.0889 6.5372
Ag 4.7734 1.0889 6.5372
Hg 3.3298 1.9224 9.0761
Hg 0.0000 3.8449 0.1173
```

Calculated values
- DOS(E_F): 0.456 states/eV/atom
- Formation enthalpy at 0 K: -0.183 eV per atom
- Total moment: 0.000 μB per atom